In3IBrCl, relaxed, DFT PBE; uncorrected formation energy = -637 meV per atom; Fermi-level density of states = 0.00 states/eV per cell
1.0
4.6227 0.0000 0.0000
0.0000 8.9325 0.6457
0.0000 -3.7062 10.0057
In I Br Cl
6 2 2 2
Direct
0.7500 0.9673 0.1136
0.2500 0.0327 0.8864
0.2500 0.7619 0.4729
0.7500 0.2381 0.5271
0.7500 0.5161 0.2036
0.2500 0.4839 0.7964
0.2500 0.2577 0.2776
0.7500 0.7423 0.7224
0.2500 0.6966 0.0748
0.7500 0.3034 0.9252
0.2500 0.0783 0.6339
0.7500 0.9217 0.3661